(1)
This record from Alexandria describes BeGeNO2 after structural relaxation. The functional is PBE-GGA.

Calculated values
As for the density of states at the Fermi level: 1.18 states/eV/cell. As for the space-group type: P4/mmm, No. 123. The value obtained for the total moment is 0.357 μB/f.u. The value obtained for the total DFT energy (no corrections) is -5.4700 eV per atom.

Cell: 3.075 3.075 5.702 Å, 90.00 90.00 90.00°
Fractional positions:
N  0.000  0.000  0.500
O  0.000  0.500  0.000
O  0.500  0.000  0.000
Be  0.000  0.000  0.000
Ge  0.500  0.500  0.500

***

(2)
This record from Alexandria describes PuPaTiSn after structural relaxation. The functional is PBE-GGA.

Calculated values
The calculation puts the energy relative to the elements at -29.3 kJ/mol of formula units. As for the density of states at the Fermi level: 10.46 states/eV/cell. As for the space-group type: F-43m, No. 216. The value obtained for the total moment is 5.249 μB/f.u.

Cell: 4.992 4.992 4.992 Å, 60.00 60.00 60.00°
Fractional positions:
Pu  0.500  0.500  0.500
Pa  0.250  0.250  0.250
Ti  0.000  0.000  0.000
Sn  0.750  0.750  0.750

***

(3)
This record from Alexandria describes Tm5MgRu4 after structural relaxation. The functional is PBE-GGA.

Calculated values
The calculation puts the energy relative to the elements at -394.0 kJ/mol of formula units. As for the density of states at the Fermi level: 5.83 states/eV/cell. As for the space-group type: P4/mmm, No. 123. The value obtained for the total moment is 0.000 μB/f.u.

Cell: 3.369 3.369 18.163 Å, 90.00 90.00 90.00°
Fractional positions:
Tm  0.500  0.500  0.317
Tm  0.500  0.500  0.683
Tm  0.500  0.500  0.866
Tm  0.500  0.500  0.500
Tm  0.500  0.500  0.134
Ru  0.000  0.000  0.219
Ru  0.000  0.000  0.407
Ru  0.000  0.000  0.781
Ru  0.000  0.000  0.593
Mg  0.000  0.000  0.000

***

What did the first record say?
This record from Alexandria describes BeGeNO2 after structural relaxation. The functional is PBE-GGA.

Calculated values
As for the density of states at the Fermi level: 1.18 states/eV/cell. As for the space-group type: P4/mmm, No. 123. The value obtained for the total moment is 0.357 μB/f.u. The value obtained for the total DFT energy (no corrections) is -5.4700 eV per atom.

Cell: 3.075 3.075 5.702 Å, 90.00 90.00 90.00°
Fractional positions:
N  0.000  0.000  0.500
O  0.000  0.500  0.000
O  0.500  0.000  0.000
Be  0.000  0.000  0.000
Ge  0.500  0.500  0.500

***

Question: Number 3 is which compound?
Answer: Tm5MgRu4